No. 1
# Rb3LaSb2Se6

A relaxed structure of Rb3LaSb2Se6 (PBE, the Alexandria database).

Cell lengths 7.532, 7.532, 8.382 Å; angles 98.62, 98.62, 120.01 degrees
Sites, in units of the cell vectors:
Se 0.591 0.934 0.802
La 0.000 0.000 0.000
Sb 0.333 0.667 0.000
Se 0.277 0.277 0.802
Sb 0.667 0.333 0.000
Se 0.066 0.409 0.198
Se 0.934 0.591 0.802
Rb 0.834 0.166 0.500
Se 0.409 0.066 0.198
Se 0.723 0.723 0.198
Rb 0.500 0.500 0.500
Rb 0.166 0.834 0.500

Computed properties:
The calculation puts the energy relative to the elements, uncorrected at -1053 meV per atom. Its space-group type is C2/m, No. 12.

No. 2
# Rb3La3SbSe8

A relaxed structure of Rb3La3SbSe8 (PBE, the Alexandria database).

Cell lengths 8.755, 8.755, 9.585 Å; angles 117.19, 90.00, 120.00 degrees
Sites, in units of the cell vectors:
Se 0.220 0.972 0.692
Se 0.248 0.028 0.308
Se 0.752 0.972 0.692
Se 0.734 0.467 0.701
La 0.500 0.000 0.500
La 0.500 0.500 0.500
Rb 0.000 0.000 0.000
Se 0.780 0.560 0.308
Sb 0.000 0.000 0.500
Se 0.220 0.440 0.692
La 0.000 0.500 0.500
Se 0.780 0.028 0.308
Rb 0.000 0.500 0.000
Rb 0.500 0.500 0.000
Se 0.266 0.533 0.299

Computed properties:
The calculation puts the energy relative to the elements, uncorrected at -1462 meV per atom. Its space-group type is R-3m, No. 166.

No. 3
# RbLaSi2Sb

A relaxed structure of RbLaSi2Sb (PBE, the Alexandria database).

Cell lengths 5.340, 5.747, 5.340 Å; angles 90.00, 90.00, 90.00 degrees
Sites, in units of the cell vectors:
Si 0.500 0.000 0.000
La 0.000 0.500 0.000
Rb 0.000 0.000 0.000
Si 0.000 0.000 0.500
Sb 0.500 0.500 0.500

Computed properties:
The calculation puts the energy relative to the elements, uncorrected at 1514 meV per atom. Its space-group type is P4/mmm, No. 123.

No. 4
# RbLaSbTe2

A relaxed structure of RbLaSbTe2 (PBE, the Alexandria database).

Cell lengths 6.228, 6.228, 6.215 Å; angles 90.00, 90.00, 90.00 degrees
Sites, in units of the cell vectors:
Te 0.500 0.000 0.000
Rb 0.500 0.500 0.500
La 0.000 0.000 0.000
Sb 0.000 0.000 0.500
Te 0.000 0.500 0.000

Computed properties:
The calculation puts the energy relative to the elements, uncorrected at -555 meV per atom. Its space-group type is P4/mmm, No. 123.

No. 5
# Rb2LaSbTe4

A relaxed structure of Rb2LaSbTe4 (PBE, the Alexandria database).

Cell lengths 9.653, 9.653, 9.752 Å; angles 120.33, 120.33, 90.05 degrees
Sites, in units of the cell vectors:
Te 0.205 0.744 0.975
Rb 0.000 0.000 0.500
Sb 0.000 0.000 0.000
Rb 0.500 0.000 0.000
Te 0.244 0.705 0.475
Te 0.238 0.262 0.463
Rb 0.500 0.000 0.500
Te 0.238 0.262 0.037
La 0.000 0.500 0.500
Te 0.762 0.738 0.537
Sb 0.500 0.500 0.500
Rb 0.500 0.500 0.000
La 0.000 0.500 0.000
Te 0.762 0.738 0.963
Te 0.756 0.295 0.525
Te 0.795 0.256 0.025

Computed properties:
The calculation puts the energy relative to the elements, uncorrected at -966 meV per atom. Its space-group type is Imma, No. 74.

No. 6
# RbLaTiSb2

A relaxed structure of RbLaTiSb2 (PBE, the Alexandria database).

Cell lengths 5.490, 5.228, 5.490 Å; angles 90.00, 90.00, 90.00 degrees
Sites, in units of the cell vectors:
La 0.500 0.500 0.500
Sb 0.500 0.000 0.000
Sb 0.000 0.000 0.500
Rb 0.000 0.500 0.000
Ti 0.000 0.000 0.000

Computed properties:
The calculation puts the energy relative to the elements, uncorrected at 116 meV per atom. Its space-group type is P4/mmm, No. 123.

No. 7
# Rb2LaSc

A relaxed structure of Rb2LaSc (PBE, the Alexandria database).

Cell lengths 6.402, 6.402, 6.402 Å; angles 60.00, 60.00, 60.00 degrees
Sites, in units of the cell vectors:
Rb 0.250 0.250 0.250
Sc 0.000 0.000 0.000
Rb 0.750 0.750 0.750
La 0.500 0.500 0.500

Computed properties:
The formation energy comes out at 0.956 eV per atom. Its space-group type is Fm-3m, No. 225.

No. 8
# RbLaSc2

A relaxed structure of RbLaSc2 (PBE, the Alexandria database).

Cell lengths 5.795, 5.795, 5.795 Å; angles 60.00, 60.00, 60.00 degrees
Sites, in units of the cell vectors:
Sc 0.750 0.750 0.750
Sc 0.250 0.250 0.250
La 0.500 0.500 0.500
Rb 0.000 0.000 0.000

Computed properties:
The formation energy comes out at 0.726 eV per atom. As for the energy above the lowest structure with this stoichiometry: 0.00 eV/f.u. Its space-group type is Fm-3m, No. 225.

No. 9
# RbLaSc2

A relaxed structure of RbLaSc2 (PBE, the Alexandria database).

Cell lengths 4.727, 4.727, 12.619 Å; angles 79.21, 79.21, 90.00 degrees
Sites, in units of the cell vectors:
La 0.750 0.250 0.500
Sc 0.102 0.625 0.250
Sc 0.875 0.898 0.750
Sc 0.375 0.352 0.750
La 0.000 0.000 0.000
Rb 0.250 0.750 0.500
Rb 0.500 0.500 0.000
Sc 0.648 0.125 0.250

Computed properties:
The formation energy comes out at 0.899 eV per atom. As for the energy above the lowest structure with this stoichiometry: 0.69 eV/f.u. Its space-group type is I-42d, No. 122.

No. 10
# RbLa3Sc

A relaxed structure of RbLa3Sc (PBE, the Alexandria database).

Cell lengths 5.727, 5.727, 5.727 Å; angles 90.00, 90.00, 90.00 degrees
Sites, in units of the cell vectors:
La 0.000 0.000 0.500
Rb 0.000 0.000 0.000
La 0.000 0.500 0.000
Sc 0.500 0.500 0.500
La 0.500 0.000 0.000

Computed properties:
The formation energy comes out at 1.102 eV per atom. As for the energy above the lowest structure with this stoichiometry: 2.75 eV/f.u. Its space-group type is Pm-3m, No. 221.

No. 11
# RbLaSc3

A relaxed structure of RbLaSc3 (PBE, the Alexandria database).

Cell lengths 5.666, 5.666, 5.666 Å; angles 90.00, 90.00, 90.00 degrees
Sites, in units of the cell vectors:
Sc 0.000 0.000 0.500
Sc 0.500 0.000 0.000
Sc 0.000 0.500 0.000
La 0.000 0.000 0.000
Rb 0.500 0.500 0.500

Computed properties:
The formation energy comes out at 0.910 eV per atom. As for the energy above the lowest structure with this stoichiometry: 0.00 eV/f.u. Its space-group type is Pm-3m, No. 221.

No. 12
# RbLa3Sc

A relaxed structure of RbLa3Sc (PBE, the Alexandria database).

Cell lengths 6.057, 6.057, 6.057 Å; angles 90.00, 90.00, 90.00 degrees
Sites, in units of the cell vectors:
Rb 0.500 0.500 0.500
Sc 0.000 0.000 0.000
La 0.000 0.000 0.500
La 0.500 0.000 0.000
La 0.000 0.500 0.000

Computed properties:
The formation energy comes out at 0.552 eV per atom. As for the energy above the lowest structure with this stoichiometry: 0.00 eV/f.u. Its space-group type is Pm-3m, No. 221.

Summary of magnetization in μB per atom
0.0000 0.0000 0.0000 0.2270 0.0000 0.3223 0.4565 0.0000 0.0002 0.0000 0.1988 0.0000
(order as listed above)